The following is a PBE calculation of a geometry-optimized Ca2TlSnO6 structure, from Alexandria via LeMat-Bulk.

Unit cell a=5.3770 b=5.3770 c=5.4844 alpha=90.00 beta=90.00 gamma=90.00
Last column: nearest neighbours and their distance in Å.
Space group P4mm (No. 99)
One atom of each set of equivalent atoms:
Ca 0.0000 0.5000 0.0000 x2  4 O 2.39
Tl 0.0000 0.0000 0.5336 x1  5 O 2.09-2.24
Sn 0.5000 0.5000 0.5757 x1  5 O 1.98-2.05
O 0.0000 0.0000 0.1532 x1  1 Tl 2.09
O 0.2564 0.2564 0.7349 x4  1 Sn 2.05, 1 Tl 2.24
O 0.5000 0.5000 0.2154 x1  1 Sn 1.98

Computed properties:
**Raw total energy**: -56.606 eV for the cell shown
**D(E_F)**: 0.55 states/eV/atom